# Ac3SiGe6Pd2 (GGA-PBE, optimized geometry)
# Mass density in Mg/m³: 7.7
# Electronic total energy in eV/f.u.: -59.57
# Calculated volume in A^3/atom: 24.27
data_Ac3SiGe6Pd2
_symmetry_space_group_name_H-M 'P -3 m 1'
_symmetry_Int_Tables_number 164
_symmetry_space_group_name_Hall '-P 3 2"'
_cell_length_a 6.2856
_cell_length_b 6.2856
_cell_length_c 8.5102
_cell_angle_alpha 90.00
_cell_angle_beta 90.00
_cell_angle_gamma 120.00
loop_
_atom_site_label
_atom_site_fract_x
_atom_site_fract_y
_atom_site_fract_z
Ac1 0.0000 0.0000 0.0000
Ac2 0.3333 0.6667 0.6395
Si1 0.0000 0.0000 0.5000
Ge1 0.1918 0.3835 0.2893
Pd1 0.3333 0.6667 0.0388